No. 1
# KMn2Cd

A relaxed KMn2Cd crystal (PBE-GGA, the Alexandria database).

Geometry as POSCAR:
```
KMn2Cd
1.0
-2.7902 -1.4011 -3.7473
-0.4499 -3.1444 -3.7015
-3.8267 -5.0360 3.8457
Cd K Mn
1 1 2
direct
0.5158 0.5158 0.4184 Cd
0.7492 0.7492 0.7593 K
0.9803 0.9803 0.0996 Mn
0.2547 0.2547 0.2228 Mn
```

Output
D(E_F): 3.03 states/eV per cell
Formation energy: 15.2 kcal/mol of atoms
Space-group type: Cm, No. 8

---

No. 2
# KMn2Cd

A relaxed KMn2Cd crystal (PBE-GGA, the Alexandria database).

Geometry as POSCAR:
```
KMn2Cd
1.0
-5.1045 1.0213 0.3893
-0.1339 -2.4299 4.6183
-0.6179 7.6093 6.9359
K Mn Cd
2 4 2
direct
0.5000 0.5000 0.0000 K
0.2500 0.7500 0.5000 K
0.8747 0.1250 0.2500 Mn
0.8753 0.6250 0.2500 Mn
0.3750 0.1253 0.7500 Mn
0.8750 0.1247 0.7500 Mn
0.0000 0.0000 0.0000 Cd
0.7500 0.2500 0.5000 Cd
```

Output
D(E_F): 9.49 states/eV per cell
Formation energy: 20.4 kcal/mol of atoms
Space-group type: I4_1/amd, No. 141

---

No. 3
# KMn3Cd

A relaxed KMn3Cd crystal (PBE-GGA, the Alexandria database).

Geometry as POSCAR:
```
KMn3Cd
1.0
4.9058 0.0000 0.0000
0.0000 4.9058 0.0000
0.0000 0.0000 4.9058
K Mn Cd
1 3 1
direct
0.0000 0.0000 0.0000 K
0.0000 0.5000 0.0000 Mn
0.0000 0.0000 0.5000 Mn
0.5000 0.0000 0.0000 Mn
0.5000 0.5000 0.5000 Cd
```

Output
D(E_F): 3.44 states/eV per cell
Formation energy: 46.6 kcal/mol of atoms
Space-group type: Pm-3m, No. 221

---

No. 4
# KMn3Cd

A relaxed KMn3Cd crystal (PBE-GGA, the Alexandria database).

Geometry as POSCAR:
```
KMn3Cd
1.0
-5.0322 -0.5581 1.4035
0.2724 -5.1374 -1.0663
1.4857 -0.9486 4.9495
K Mn Cd
1 3 1
direct
0.5000 0.5000 0.5000 K
0.0000 0.5000 0.0000 Mn
0.0000 0.0000 0.5000 Mn
0.5000 0.0000 0.0000 Mn
0.0000 0.0000 0.0000 Cd
```

Output
D(E_F): 5.39 states/eV per cell
Formation energy: 25.3 kcal/mol of atoms
Space-group type: Pm-3m, No. 221